CsNaSm, relaxed, DFT GGA-PBE; electronic total energy = -1.433 eV per atom; theoretical density = 3.1 g cm⁻³
1.0
8.727 0.000 0.000
0.000 8.727 0.000
0.000 0.000 8.727
Cs Na Sm
4 4 4
Cartesian
0.000 0.000 0.000 Cs
0.000 4.364 4.364 Cs
4.364 0.000 4.364 Cs
4.364 4.364 0.000 Cs
2.182 2.182 2.182 Na
2.182 6.546 6.546 Na
6.546 2.182 6.546 Na
6.546 6.546 2.182 Na
0.000 0.000 4.364 Sm
0.000 4.364 0.000 Sm
4.364 0.000 0.000 Sm
4.364 4.364 4.364 Sm

---

DyEr2Al7Ag2, relaxed, DFT GGA-PBE; electronic total energy = -4.248 eV per atom; theoretical density = 6.5 g cm⁻³
1.0
2.765 1.596 8.745
-2.765 1.596 8.745
0.000 -3.193 8.745
Dy Er Al Ag
1 2 7 2
Cartesian
0.000 0.000 0.000 Dy
0.000 0.000 3.733 Er
0.000 0.000 22.503 Er
-1.416 -0.818 10.948 Al
0.000 -1.635 15.288 Al
-1.416 0.818 15.288 Al
0.000 0.000 13.118 Al
1.416 -0.818 10.948 Al
0.000 1.635 10.948 Al
1.416 0.818 15.288 Al
0.000 0.000 8.810 Ag
0.000 0.000 17.426 Ag

---

Ta4GeAuN2, relaxed, DFT GGA-PBE; electronic total energy = -9.525 eV per atom; theoretical density = 14.7 g cm⁻³
1.0
3.222 0.000 0.000
-1.611 2.790 0.000
0.000 0.000 12.860
Ta Ge Au N
4 1 1 2
Cartesian
0.000 0.000 1.972 Ta
0.000 0.000 10.888 Ta
0.000 1.860 4.232 Ta
0.000 1.860 8.628 Ta
0.000 1.860 0.000 Ge
0.000 0.000 6.430 Au
1.611 0.930 3.142 N
1.611 0.930 9.719 N

---

LiMg2Cu, relaxed, DFT GGA-PBE; electronic total energy = -2.037 eV per atom; theoretical density = 2.6 g cm⁻³
1.0
4.662 0.000 0.000
-2.331 4.037 0.000
0.000 0.000 8.002
Li Mg Cu
2 4 2
Cartesian
0.000 0.000 0.000 Li
0.000 0.000 4.001 Li
0.000 2.692 0.656 Mg
0.000 2.692 3.345 Mg
2.331 1.346 4.657 Mg
2.331 1.346 7.346 Mg
0.000 2.692 6.002 Cu
2.331 1.346 2.001 Cu

---

BaBPt, relaxed, DFT GGA-PBE; energy relative to the lowest polymorph listed for this composition = 0.172 eV/atom; theoretical density = 7.4 g cm⁻³
1.0
6.756 0.000 0.000
0.000 6.756 0.000
0.000 0.000 6.756
Ba B Pt
4 4 4
Cartesian
0.000 0.000 0.000 Ba
0.000 3.378 3.378 Ba
3.378 0.000 3.378 Ba
3.378 3.378 0.000 Ba
0.000 0.000 3.378 B
0.000 3.378 0.000 B
3.378 0.000 0.000 B
3.378 3.378 3.378 B
1.689 1.689 5.067 Pt
1.689 5.067 1.689 Pt
5.067 1.689 1.689 Pt
5.067 5.067 5.067 Pt

---

Tl2Pd2Se3, relaxed, DFT GGA-PBE; energy relative to the lowest polymorph listed for this composition = 0.099 eV/atom; theoretical density = 7.7 g cm⁻³
1.0
3.540 2.044 4.246
-3.540 2.044 4.246
0.000 -4.088 4.246
Tl Pd Se
2 2 3
Cartesian
0.000 0.000 0.000 Tl
0.000 0.000 6.368 Tl
0.000 0.000 2.832 Pd
0.000 0.000 9.904 Pd
-1.770 -1.022 4.246 Se
-1.770 1.022 8.491 Se
0.000 2.044 4.246 Se

---

Lu3Fe2Co7, relaxed, DFT GGA-PBE; E_form = -0.237 eV/atom; theoretical density = 10.4 g cm⁻³
1.0
2.478 1.430 7.887
-2.478 1.430 7.887
0.000 -2.861 7.887
Lu Fe Co
3 2 7
Cartesian
0.000 0.000 0.000 Lu
0.000 0.000 3.323 Lu
0.000 0.000 20.339 Lu
0.000 0.000 7.919 Fe
0.000 0.000 15.743 Fe
-1.255 -0.725 9.840 Co
0.000 -1.449 13.822 Co
-1.255 0.725 13.822 Co
0.000 0.000 11.831 Co
1.255 -0.725 9.840 Co
0.000 1.449 9.840 Co
1.255 0.725 13.822 Co

---

Pr2Se2O, relaxed, DFT GGA-PBE; electronic total energy = -6.730 eV per atom; theoretical density = 6.3 g cm⁻³
1.0
8.908 0.000 0.000
0.000 7.393 0.000
-1.267 0.000 7.275
Pr Se O
8 8 4
Cartesian
0.251 1.091 2.369 Pr
-0.383 2.606 6.006 Pr
2.877 4.086 1.790 Pr
2.243 7.003 5.428 Pr
5.398 0.390 1.847 Pr
4.765 3.307 5.484 Pr
8.024 4.787 1.269 Pr
7.391 6.302 4.906 Pr
0.888 4.648 4.140 Se
1.522 6.441 0.502 Se
3.164 1.646 3.429 Se
2.530 2.050 7.067 Se
5.111 5.343 0.208 Se
4.478 5.747 3.845 Se
6.119 0.952 6.772 Se
6.753 2.745 3.135 Se
0.195 0.629 4.722 O
0.828 3.068 1.085 O
6.813 4.325 6.190 O
7.447 6.764 2.553 O